Entry 1:
Tb6Y3Er2Mg | Alexandria | GGA-PBE | optimized geometry; calculated volume = 31.1 A^3/atom; mass density = 7.02 g/cm3; formation energy from the elements = 0.030 eV per atom; symmetry = C2/m, No. 12
1.0
3.067 -5.315 0.000
3.067 5.315 0.000
-2.062 0.000 11.462
Tb Y Er Mg
6 3 2 1
direct
0.085 0.418 0.753
0.248 0.248 0.248
0.418 0.085 0.753
0.582 0.915 0.247
0.752 0.752 0.752
0.915 0.582 0.247
0.000 0.000 0.500
0.334 0.666 0.500
0.666 0.334 0.500
0.166 0.834 0.000
0.834 0.166 0.000
0.500 0.500 0.000



Entry 2:
Hf3ZrCd | Alexandria | GGA-PBE | optimized geometry; calculated volume = 27.1 A^3/atom; mass density = 9.04 g/cm3; relative energy among the computed polymorphs = 1.148 eV/atom; formation energy from the elements = 1.183 eV per atom; symmetry = Pm-3m, No. 221
1.0
5.139 0.000 0.000
0.000 5.139 0.000
0.000 0.000 5.139
Hf Zr Cd
3 1 1
direct
0.000 0.000 0.500
0.000 0.500 0.000
0.500 0.000 0.000
0.000 0.000 0.000
0.500 0.500 0.500



Repeat the first record exactly.
Tb6Y3Er2Mg | Alexandria | GGA-PBE | optimized geometry; calculated volume = 31.1 A^3/atom; mass density = 7.02 g/cm3; formation energy from the elements = 0.030 eV per atom; symmetry = C2/m, No. 12
1.0
3.067 -5.315 0.000
3.067 5.315 0.000
-2.062 0.000 11.462
Tb Y Er Mg
6 3 2 1
direct
0.085 0.418 0.753
0.248 0.248 0.248
0.418 0.085 0.753
0.582 0.915 0.247
0.752 0.752 0.752
0.915 0.582 0.247
0.000 0.000 0.500
0.334 0.666 0.500
0.666 0.334 0.500
0.166 0.834 0.000
0.834 0.166 0.000
0.500 0.500 0.000



Please write out number 1 again, unchanged.
Tb6Y3Er2Mg | Alexandria | GGA-PBE | optimized geometry; calculated volume = 31.1 A^3/atom; mass density = 7.02 g/cm3; formation energy from the elements = 0.030 eV per atom; symmetry = C2/m, No. 12
1.0
3.067 -5.315 0.000
3.067 5.315 0.000
-2.062 0.000 11.462
Tb Y Er Mg
6 3 2 1
direct
0.085 0.418 0.753
0.248 0.248 0.248
0.418 0.085 0.753
0.582 0.915 0.247
0.752 0.752 0.752
0.915 0.582 0.247
0.000 0.000 0.500
0.334 0.666 0.500
0.666 0.334 0.500
0.166 0.834 0.000
0.834 0.166 0.000
0.500 0.500 0.000



Question: Which value of calculated volume does entry 2 give?
Answer: 27.1 A^3/atom